(1)
DFT (PBE-GGA) results for a relaxed Ni3HgCl crystal. Values from VASP.

Values from the calculation:
Its total energy is -3.3915 eV per atom. Its formation energy without anion corrections is 2.5 eV/f.u. Its space group is Pm-3m. Its crystal system is cubic. Its density of states at the Fermi level is 1.349 states/eV/atom.

```
&SYSTEM
  ibrav = 0, nat = 5, ntyp = 3
/
ATOMIC_SPECIES
Ni 58.69 Ni.upf
Hg 200.59 Hg.upf
Cl 35.45 Cl.upf
ATOMIC_POSITIONS crystal
Ni 0.000 0.500 0.000
Hg 0.500 0.500 0.500
Ni 0.000 0.000 0.500
Cl 0.000 0.000 0.000
Ni 0.500 0.000 0.000
CELL_PARAMETERS angstrom
4.232 0.000 0.000
0.000 4.232 0.000
0.000 0.000 4.232
```

(2)
DFT (PBE-GGA) results for a relaxed NiHg2Cl6 crystal. Values from VASP.

Values from the calculation:
Its total energy is -2.4954 eV per atom. Its formation energy without anion corrections is -5.0 eV/f.u. Its space group is R-3. Its crystal system is trigonal.

```
&SYSTEM
  ibrav = 0, nat = 9, ntyp = 3
/
ATOMIC_SPECIES
Cl 35.45 Cl.upf
Ni 58.69 Ni.upf
Hg 200.59 Hg.upf
ATOMIC_POSITIONS crystal
Cl 0.226 0.926 0.217
Cl 0.369 0.774 0.783
Cl 0.774 0.074 0.783
Cl 0.926 0.631 0.217
Ni 0.000 0.000 0.000
Hg 0.668 0.668 0.996
Cl 0.074 0.369 0.783
Hg 0.332 0.332 0.004
Cl 0.631 0.226 0.217
CELL_PARAMETERS angstrom
-4.909 -4.399 -0.938
0.652 -4.790 -4.578
1.186 -6.906 2.554
```

(3)
DFT (PBE-GGA) results for a relaxed NiHg2Cl crystal. Values from VASP.

Values from the calculation:
Its total energy is -1.8714 eV per atom. Its formation energy without anion corrections is 0.7 eV/f.u. Its space group is Immm. Its crystal system is orthorhombic. Its density of states at the Fermi level is 1.202 states/eV/atom.

```
&SYSTEM
  ibrav = 0, nat = 4, ntyp = 3
/
ATOMIC_SPECIES
Cl 35.45 Cl.upf
Hg 200.59 Hg.upf
Ni 58.69 Ni.upf
ATOMIC_POSITIONS crystal
Cl 0.250 0.750 0.500
Hg 0.522 0.522 0.000
Hg 0.978 0.978 0.000
Ni 0.750 0.250 0.500
CELL_PARAMETERS angstrom
5.738 -0.076 0.042
0.847 5.675 -0.042
-1.830 -4.519 3.026
```

(4)
DFT (PBE-GGA) results for a relaxed NiHg3Cl crystal. Values from VASP.

Values from the calculation:
Its total energy is -0.7737 eV per atom. Its formation energy without anion corrections is 4.7 eV/f.u. Its space group is Pm-3m. Its crystal system is cubic. Its density of states at the Fermi level is 2.403 states/eV/atom.

```
&SYSTEM
  ibrav = 0, nat = 5, ntyp = 3
/
ATOMIC_SPECIES
Ni 58.69 Ni.upf
Cl 35.45 Cl.upf
Hg 200.59 Hg.upf
ATOMIC_POSITIONS crystal
Ni 0.500 0.500 0.500
Cl 0.000 0.000 0.000
Hg 0.000 0.000 0.500
Hg 0.000 0.500 0.000
Hg 0.500 0.000 0.000
CELL_PARAMETERS angstrom
5.727 0.000 0.000
0.000 5.727 0.000
0.000 0.000 5.727
```

(5)
DFT (PBE-GGA) results for a relaxed NiHg2Cl crystal. Values from VASP.

Values from the calculation:
Its total energy is -1.7751 eV per atom. Its formation energy without anion corrections is 1.1 eV/f.u. Its space group is P4/mmm. Its crystal system is tetragonal. Its density of states at the Fermi level is 0.441 states/eV/atom.

```
&SYSTEM
  ibrav = 0, nat = 4, ntyp = 3
/
ATOMIC_SPECIES
Cl 35.45 Cl.upf
Hg 200.59 Hg.upf
Ni 58.69 Ni.upf
ATOMIC_POSITIONS crystal
Cl 0.500 0.000 0.500
Hg 0.000 0.000 0.000
Hg 0.000 0.500 0.500
Ni 0.500 0.500 0.000
CELL_PARAMETERS angstrom
3.156 0.000 0.000
0.000 5.028 0.000
0.000 0.000 5.028
```

(6)
DFT (PBE-GGA) results for a relaxed NiHgCl4 crystal. Values from VASP.

Values from the calculation:
Its total energy is -2.7505 eV per atom. Its formation energy without anion corrections is -3.0 eV/f.u. Its space group is P2_1/c. Its crystal system is monoclinic.

```
&SYSTEM
  ibrav = 0, nat = 12, ntyp = 3
/
ATOMIC_SPECIES
Ni 58.69 Ni.upf
Cl 35.45 Cl.upf
Hg 200.59 Hg.upf
ATOMIC_POSITIONS crystal
Ni 0.000 0.000 0.000
Cl 0.176 0.338 0.612
Cl 0.324 0.838 0.112
Cl 0.497 0.782 0.612
Ni 0.500 0.500 0.500
Cl 0.824 0.662 0.388
Cl 0.997 0.718 0.888
Cl 0.676 0.162 0.888
Hg 0.000 0.000 0.500
Hg 0.500 0.500 0.000
Cl 0.003 0.282 0.112
Cl 0.503 0.218 0.388
CELL_PARAMETERS angstrom
-3.019 -2.371 -1.682
3.488 -0.825 -5.099
4.751 -9.902 5.427
```

(7)
DFT (PBE-GGA) results for a relaxed NiHg2Cl crystal. Values from VASP.

Values from the calculation:
Its total energy is -1.7070 eV per atom. Its formation energy without anion corrections is 1.4 eV/f.u. Its space group is Pmmm. Its crystal system is orthorhombic. Its density of states at the Fermi level is 1.211 states/eV/atom.

```
&SYSTEM
  ibrav = 0, nat = 4, ntyp = 3
/
ATOMIC_SPECIES
Hg 200.59 Hg.upf
Ni 58.69 Ni.upf
Cl 35.45 Cl.upf
ATOMIC_POSITIONS crystal
Hg 0.000 0.000 0.000
Hg 0.500 0.500 0.000
Ni 0.500 0.000 0.500
Cl 0.000 0.500 0.500
CELL_PARAMETERS angstrom
3.407 0.000 0.000
0.000 4.483 0.000
0.000 0.000 5.680
```

(8)
DFT (PBE-GGA) results for a relaxed Ni3HgCl crystal. Values from VASP.

Values from the calculation:
Its total energy is -2.6127 eV per atom. Its formation energy without anion corrections is 6.4 eV/f.u. Its space group is Pm-3m. Its crystal system is cubic. Its density of states at the Fermi level is 2.351 states/eV/atom.

```
&SYSTEM
  ibrav = 0, nat = 5, ntyp = 3
/
ATOMIC_SPECIES
Ni 58.69 Ni.upf
Cl 35.45 Cl.upf
Hg 200.59 Hg.upf
ATOMIC_POSITIONS crystal
Ni 0.500 0.000 0.000
Cl 0.500 0.500 0.500
Hg 0.000 0.000 0.000
Ni 0.000 0.500 0.000
Ni 0.000 0.000 0.500
CELL_PARAMETERS angstrom
-4.170 1.861 1.604
-0.707 -3.936 2.727
2.353 2.116 3.663
```

(9)
DFT (PBE-GGA) results for a relaxed NiHg2Cl crystal. Values from VASP.

Values from the calculation:
Its total energy is -1.9610 eV per atom. Its formation energy without anion corrections is 0.4 eV/f.u. Its space group is Cmmm. Its crystal system is orthorhombic. Its density of states at the Fermi level is 0.536 states/eV/atom.

```
&SYSTEM
  ibrav = 0, nat = 4, ntyp = 3
/
ATOMIC_SPECIES
Hg 200.59 Hg.upf
Cl 35.45 Cl.upf
Ni 58.69 Ni.upf
ATOMIC_POSITIONS crystal
Hg 0.000 0.000 0.462
Cl 0.500 0.500 0.750
Hg 0.000 0.000 0.038
Ni 0.500 0.500 0.250
CELL_PARAMETERS angstrom
-1.874 2.205 -1.347
-2.538 -1.596 1.096
0.201 4.142 6.499
```

(10)
DFT (PBE-GGA) results for a relaxed NiHg2Cl crystal. Values from VASP.

Values from the calculation:
Its total energy is -2.0115 eV per atom. Its formation energy without anion corrections is 0.2 eV/f.u. Its space group is R-3m. Its crystal system is trigonal. Its density of states at the Fermi level is 0.664 states/eV/atom.

```
&SYSTEM
  ibrav = 0, nat = 4, ntyp = 3
/
ATOMIC_SPECIES
Cl 35.45 Cl.upf
Ni 58.69 Ni.upf
Hg 200.59 Hg.upf
ATOMIC_POSITIONS crystal
Cl 0.750 0.750 0.750
Ni 0.250 0.250 0.250
Hg 0.510 0.510 0.510
Hg 0.990 0.990 0.990
CELL_PARAMETERS angstrom
8.086 0.021 0.013
7.306 3.466 0.013
7.306 1.655 3.045
```

(11)
DFT (PBE-GGA) results for a relaxed NiHg2Cl crystal. Values from VASP.

Values from the calculation:
Its total energy is -1.8097 eV per atom. Its formation energy without anion corrections is 1.0 eV/f.u. Its space group is Cmmm. Its crystal system is orthorhombic. Its density of states at the Fermi level is 0.592 states/eV/atom.

```
&SYSTEM
  ibrav = 0, nat = 4, ntyp = 3
/
ATOMIC_SPECIES
Cl 35.45 Cl.upf
Hg 200.59 Hg.upf
Ni 58.69 Ni.upf
ATOMIC_POSITIONS crystal
Cl 0.000 0.500 0.500
Hg 0.500 0.500 0.000
Ni 0.500 0.000 0.500
Hg 0.000 0.000 0.000
CELL_PARAMETERS angstrom
5.113 0.015 -0.014
-2.066 4.677 -0.014
0.009 0.014 3.387
```

(12)
DFT (PBE-GGA) results for a relaxed NiHg2Cl crystal. Values from VASP.

Values from the calculation:
Its total energy is -1.9851 eV per atom. Its formation energy without anion corrections is 0.3 eV/f.u. Its space group is P4mm. Its crystal system is tetragonal. Its density of states at the Fermi level is 0.379 states/eV/atom.

```
&SYSTEM
  ibrav = 0, nat = 4, ntyp = 3
/
ATOMIC_SPECIES
Hg 200.59 Hg.upf
Cl 35.45 Cl.upf
Ni 58.69 Ni.upf
ATOMIC_POSITIONS crystal
Hg 0.500 0.500 0.297
Cl 0.500 0.500 0.639
Ni 0.000 0.000 0.573
Hg 0.000 0.000 0.991
CELL_PARAMETERS angstrom
-1.121 0.721 -2.911
-1.202 -2.955 -0.269
-8.275 3.007 3.934
```

(13)
DFT (PBE-GGA) results for a relaxed NiHgCl4 crystal. Values from VASP.

Values from the calculation:
Its total energy is -1.4210 eV per atom. Its formation energy without anion corrections is 4.9 eV/f.u. Its space group is F-43m. Its crystal system is cubic. Its density of states at the Fermi level is 2.145 states/eV/atom.

```
&SYSTEM
  ibrav = 0, nat = 6, ntyp = 3
/
ATOMIC_SPECIES
Cl 35.45 Cl.upf
Hg 200.59 Hg.upf
Ni 58.69 Ni.upf
ATOMIC_POSITIONS crystal
Cl 0.374 0.877 0.374
Cl 0.374 0.374 0.374
Hg 0.750 0.750 0.750
Cl 0.374 0.374 0.877
Ni 0.000 0.000 0.000
Cl 0.877 0.374 0.374
CELL_PARAMETERS angstrom
-4.270 1.104 3.978
-0.151 5.224 2.822
-4.278 3.927 -1.248
```

(14)
DFT (PBE-GGA) results for a relaxed NiHg2Cl crystal. Values from VASP.

Values from the calculation:
Its total energy is -2.1103 eV per atom. Its formation energy without anion corrections is -0.2 eV/f.u. Its space group is Cmmm. Its crystal system is orthorhombic. Its density of states at the Fermi level is 0.883 states/eV/atom.

```
&SYSTEM
  ibrav = 0, nat = 4, ntyp = 3
/
ATOMIC_SPECIES
Hg 200.59 Hg.upf
Cl 35.45 Cl.upf
Ni 58.69 Ni.upf
ATOMIC_POSITIONS crystal
Hg 0.000 0.416 0.416
Hg 0.000 0.084 0.084
Cl 0.500 0.750 0.750
Ni 0.500 0.250 0.250
CELL_PARAMETERS angstrom
3.486 0.000 0.000
0.000 6.670 0.254
0.000 5.072 4.334
```

(15)
DFT (PBE-GGA) results for a relaxed NiHg2Cl crystal. Values from VASP.

Values from the calculation:
Its total energy is -1.7153 eV per atom. Its formation energy without anion corrections is 1.4 eV/f.u. Its space group is I4/mmm. Its crystal system is tetragonal. Its density of states at the Fermi level is 1.114 states/eV/atom.

```
&SYSTEM
  ibrav = 0, nat = 4, ntyp = 3
/
ATOMIC_SPECIES
Hg 200.59 Hg.upf
Cl 35.45 Cl.upf
Ni 58.69 Ni.upf
ATOMIC_POSITIONS crystal
Hg 0.000 0.000 0.000
Hg 0.500 0.500 0.000
Cl 0.750 0.250 0.500
Ni 0.250 0.750 0.500
CELL_PARAMETERS angstrom
-5.387 -3.328 -0.373
-3.443 -2.358 4.778
2.941 5.216 -2.094
```

(16)
DFT (PBE-GGA) results for a relaxed NiHg2Cl crystal. Values from VASP.

Values from the calculation:
Its total energy is -1.6927 eV per atom. Its formation energy without anion corrections is 1.5 eV/f.u. Its space group is I-4m2. Its crystal system is tetragonal. Its density of states at the Fermi level is 0.836 states/eV/atom.

```
&SYSTEM
  ibrav = 0, nat = 4, ntyp = 3
/
ATOMIC_SPECIES
Cl 35.45 Cl.upf
Ni 58.69 Ni.upf
Hg 200.59 Hg.upf
ATOMIC_POSITIONS crystal
Cl 0.750 0.250 0.500
Ni 0.500 0.500 0.000
Hg 0.000 0.000 0.000
Hg 0.250 0.750 0.500
CELL_PARAMETERS angstrom
-1.279 -0.882 5.322
4.131 -1.864 3.194
-0.669 4.149 -3.616
```

(17)
DFT (PBE-GGA) results for a relaxed NiHg2Cl crystal. Values from VASP.

Values from the calculation:
Its total energy is -2.0573 eV per atom. Its formation energy without anion corrections is 0.0 eV/f.u. Its space group is I-42d. Its crystal system is tetragonal. Its density of states at the Fermi level is 1.016 states/eV/atom.

```
&SYSTEM
  ibrav = 0, nat = 8, ntyp = 3
/
ATOMIC_SPECIES
Hg 200.59 Hg.upf
Ni 58.69 Ni.upf
Cl 35.45 Cl.upf
ATOMIC_POSITIONS crystal
Hg 0.010 0.625 0.250
Ni 0.000 0.000 0.000
Cl 0.500 0.500 0.000
Hg 0.875 0.990 0.750
Hg 0.740 0.125 0.250
Ni 0.750 0.250 0.500
Hg 0.375 0.260 0.750
Cl 0.250 0.750 0.500
CELL_PARAMETERS angstrom
-9.211 2.082 -0.340
-1.979 -9.057 -1.832
-5.767 -3.893 1.102
```

(18)
DFT (PBE-GGA) results for a relaxed NiHg3Cl crystal. Values from VASP.

Values from the calculation:
Its total energy is -1.7005 eV per atom. Its formation energy without anion corrections is 0.0 eV/f.u. Its space group is Pm-3m. Its crystal system is cubic. Its density of states at the Fermi level is 0.371 states/eV/atom.

```
&SYSTEM
  ibrav = 0, nat = 5, ntyp = 3
/
ATOMIC_SPECIES
Ni 58.69 Ni.upf
Hg 200.59 Hg.upf
Cl 35.45 Cl.upf
ATOMIC_POSITIONS crystal
Ni 0.000 0.000 0.000
Hg 0.000 0.000 0.500
Hg 0.000 0.500 0.000
Cl 0.500 0.500 0.500
Hg 0.500 0.000 0.000
CELL_PARAMETERS angstrom
5.074 0.000 0.000
0.000 5.074 0.000
0.000 0.000 5.074
```

(19)
DFT (PBE-GGA) results for a relaxed NiHgCl4 crystal. Values from VASP.

Values from the calculation:
Its total energy is -2.7862 eV per atom. Its formation energy without anion corrections is -3.2 eV/f.u. Its space group is C2/m. Its crystal system is monoclinic.

```
&SYSTEM
  ibrav = 0, nat = 6, ntyp = 3
/
ATOMIC_SPECIES
Cl 35.45 Cl.upf
Hg 200.59 Hg.upf
Ni 58.69 Ni.upf
ATOMIC_POSITIONS crystal
Cl 0.391 0.781 0.895
Cl 0.897 0.793 0.456
Hg 0.000 0.000 0.000
Ni 0.500 0.000 0.500
Cl 0.103 0.207 0.544
Cl 0.609 0.219 0.105
CELL_PARAMETERS angstrom
3.687 0.000 0.000
-1.844 7.119 -0.383
0.000 3.234 5.800
```

(20)
DFT (PBE-GGA) results for a relaxed NiHg2Cl crystal. Values from VASP.

Values from the calculation:
Its total energy is -1.6508 eV per atom. Its formation energy without anion corrections is 1.6 eV/f.u. Its space group is F-43m. Its crystal system is cubic. Its density of states at the Fermi level is 0.836 states/eV/atom.

```
&SYSTEM
  ibrav = 0, nat = 4, ntyp = 3
/
ATOMIC_SPECIES
Hg 200.59 Hg.upf
Cl 35.45 Cl.upf
Ni 58.69 Ni.upf
ATOMIC_POSITIONS crystal
Hg 0.250 0.250 0.250
Cl 0.500 0.500 0.500
Ni 0.750 0.750 0.750
Hg 0.000 0.000 0.000
CELL_PARAMETERS angstrom
4.915 0.000 0.000
2.457 4.256 0.000
2.457 1.419 4.013
```